Entry 1:
Below is a relaxed structure of Cs2SiCl7, with properties calculated at the PBE level.

Cell lengths 7.8806, 7.8806, 7.5655 Å; angles 58.61, 58.61, 90.00 degrees
Element x y z (fractional)
Cl1 0.3007 0.3007 0.0000
Cl2 0.7246 0.7246 0.5508
Cl3 0.6993 0.6993 0.0000
Cl4 0.2754 0.2754 0.4492
Cl5 0.6993 0.3007 0.0000
Cl6 0.0000 0.0000 0.0000
Cl7 0.3007 0.6993 0.0000
Cs1 0.7500 0.2500 0.5000
Cs2 0.2500 0.7500 0.5000
Si1 0.5000 0.5000 0.0000

Summary:
* final energy: -3.2686 eV per atom
* raw formation energy: -1.263 eV per atom

***

Entry 2:
Below is a relaxed structure of Ba4Li2Au, with properties calculated at the PBE level.

Cell lengths 6.2968, 6.2968, 10.2826 Å; angles 72.17, 72.17, 90.00 degrees
Element x y z (fractional)
Li1 0.6170 0.6170 0.7661
Li2 0.3830 0.3830 0.2339
Ba1 0.8187 0.8187 0.3626
Ba2 0.0000 0.5000 0.0000
Ba3 0.1813 0.1813 0.6374
Ba4 0.5000 0.0000 0.0000
Au1 0.0000 0.0000 0.0000

Summary:
* final energy: -2.2111 eV per atom
* formation energy: -0.097 eV per atom